Record 1
Below is a geometry-optimized PuTcP structure, with properties calculated at the GGA-PBE level.

abc: 4.1069 4.1069 3.8440
angles: 90.00 90.00 120.00
Atoms (fractional coordinates):
Pu: 0.0000 0.0000 0.0000
Tc: 0.6667 0.3333 0.5000
P: 0.3333 0.6667 0.5000

Summary:
D(E_F), states/eV per cell: 8.15
Calculated total energy, eV/atom: -10.542
Energy above the lowest structure with this stoichiometry, meV/atom: 203.5


Record 2
Below is a geometry-optimized PuTc3P2 structure, with properties calculated at the GGA-PBE level.

abc: 9.2119 9.2119 3.8735
angles: 90.00 90.00 120.00
Atoms (fractional coordinates):
Pu: 0.0000 0.0000 0.0000
Pu: 0.3333 0.6667 0.5000
Pu: 0.6667 0.3333 0.5000
Tc: 0.0000 0.2815 0.5000
Tc: 0.0000 0.5000 0.0000
Tc: 0.0000 0.7185 0.5000
Tc: 0.2815 0.0000 0.5000
Tc: 0.2815 0.2815 0.5000
Tc: 0.5000 0.0000 0.0000
Tc: 0.5000 0.5000 0.0000
Tc: 0.7185 0.0000 0.5000
Tc: 0.7185 0.7185 0.5000
P: 0.1969 0.3937 0.0000
P: 0.1969 0.8031 0.0000
P: 0.3937 0.1969 0.0000
P: 0.6063 0.8031 0.0000
P: 0.8031 0.1969 0.0000
P: 0.8031 0.6063 0.0000

Summary:
D(E_F), states/eV per cell: 41.67
Calculated total energy, eV/atom: -9.949


Record 3
Below is a geometry-optimized PuTcP structure, with properties calculated at the GGA-PBE level.

abc: 4.0709 4.0709 6.6996
angles: 90.00 90.00 90.00
Atoms (fractional coordinates):
Pu: 0.2500 0.2500 0.1535
Pu: 0.7500 0.7500 0.8465
Tc: 0.2500 0.7500 0.5000
Tc: 0.7500 0.2500 0.5000
P: 0.2500 0.2500 0.6949
P: 0.7500 0.7500 0.3051

Summary:
D(E_F), states/eV per cell: 17.59
Calculated total energy, eV/atom: -10.694
Energy above the lowest structure with this stoichiometry, meV/atom: 51.4


Record 4
Below is a geometry-optimized PuTcP2 structure, with properties calculated at the GGA-PBE level.

abc: 5.7717 5.7717 5.7717
angles: 39.14 39.14 39.14
Atoms (fractional coordinates):
Pu: 0.0000 0.0000 0.0000
Tc: 0.5000 0.5000 0.5000
P: 0.2330 0.2330 0.2330
P: 0.7670 0.7670 0.7670

Summary:
D(E_F), states/eV per cell: 11.41
Calculated total energy, eV/atom: -9.627
Energy above the lowest structure with this stoichiometry, meV/atom: 0.0


Record 5
Below is a geometry-optimized Pu2TcP structure, with properties calculated at the GGA-PBE level.

abc: 3.5176 3.5176 5.0183
angles: 90.00 90.00 90.00
Atoms (fractional coordinates):
Pu: 0.0000 0.5000 0.0000
Pu: 0.5000 0.0000 0.0000
Tc: 0.0000 0.0000 0.5000
P: 0.5000 0.5000 0.5000

Summary:
D(E_F), states/eV per cell: 7.31
Calculated total energy, eV/atom: -11.109
Energy above the lowest structure with this stoichiometry, meV/atom: 478.1


Record 6
Below is a geometry-optimized PuTc3P3 structure, with properties calculated at the GGA-PBE level.

abc: 7.6355 4.1039 7.9910
angles: 90.00 116.72 90.00
Atoms (fractional coordinates):
Pu: 0.2180 0.2500 0.3363
Pu: 0.7820 0.7500 0.6637
Tc: 0.2153 0.2500 0.7346
Tc: 0.2167 0.7500 0.9872
Tc: 0.4939 0.2500 0.1084
Tc: 0.5061 0.7500 0.8916
Tc: 0.7833 0.2500 0.0128
Tc: 0.7847 0.7500 0.2654
P: 0.0553 0.2500 0.9337
P: 0.1346 0.7500 0.5583
P: 0.4778 0.7500 0.2885
P: 0.5222 0.2500 0.7115
P: 0.8654 0.2500 0.4417
P: 0.9447 0.7500 0.0663

Summary:
D(E_F), states/eV per cell: 19.94
Calculated total energy, eV/atom: -9.423


| no. | ΔH_f (0 K) (kJ/mol of atoms) |
| --- | --- |
| 1 | -49 |
| 2 | -55 |
| 3 | -64 |
| 4 | -72 |
| 5 | 0 |
| 6 | -59 |